Entry 1:
First-principles (PBEsol) data for crystalline Zr2C2Se at its relaxed geometry, as listed in Alexandria via LeMat-Bulk.

Unit cell a=6.540 b=6.540 c=6.540 alpha=148.20 beta=148.20 gamma=45.58
Fractional coordinates of all 5 atoms:
Zr 0.147 0.147 0.000
Zr 0.853 0.853 0.000
C 0.250 0.750 0.500
C 0.750 0.250 0.500
Se 0.500 0.500 0.000

Formation energy (no corrections)   -0.202 eV/atom
Density   6.123 g/cm3
Total magnetic moment   0.000 μB/cell
SG   No. 139

---

Entry 2:
First-principles (PBEsol) data for crystalline ZrCSe3 at its relaxed geometry, as listed in Alexandria via LeMat-Bulk.

Unit cell a=4.358 b=4.358 c=4.358 alpha=90.00 beta=90.00 gamma=90.00
Fractional coordinates of all 5 atoms:
Zr 0.000 0.000 0.000
C 0.500 0.500 0.500
Se 0.000 0.500 0.500
Se 0.500 0.000 0.500
Se 0.500 0.500 0.000

Formation energy (no corrections)   0.381 eV/atom
Density   6.825 g/cm3
Total magnetic moment   0.000 μB/cell
SG   No. 221

---

Entry 3:
First-principles (PBEsol) data for crystalline Si2C at its relaxed geometry, as listed in Alexandria via LeMat-Bulk.

Unit cell a=8.326 b=8.326 c=2.755 alpha=90.00 beta=90.00 gamma=160.04
Fractional coordinates of all 6 atoms:
Si 0.069 0.931 0.750
Si 0.301 0.699 0.250
Si 0.699 0.301 0.750
Si 0.931 0.069 0.250
C 0.387 0.613 0.750
C 0.613 0.387 0.250

Formation energy (no corrections)   0.620 eV/atom
Density   3.473 g/cm3
Total magnetic moment   0.000 μB/cell
SG   No. 63

---

Entry 4:
First-principles (PBEsol) data for crystalline Si2C at its relaxed geometry, as listed in Alexandria via LeMat-Bulk.

Unit cell a=3.137 b=3.137 c=7.203 alpha=90.00 beta=90.00 gamma=90.00
Fractional coordinates of all 6 atoms:
Si 0.250 0.250 0.137
Si 0.250 0.750 0.500
Si 0.750 0.250 0.500
Si 0.750 0.750 0.863
C 0.250 0.250 0.867
C 0.750 0.750 0.133

Formation energy (no corrections)   1.064 eV/atom
Density   3.194 g/cm3
Total magnetic moment   0.000 μB/cell
SG   No. 129

---

Entry 5:
First-principles (PBEsol) data for crystalline SiC at its relaxed geometry, as listed in Alexandria via LeMat-Bulk.

Unit cell a=3.081 b=3.081 c=20.150 alpha=90.00 beta=90.00 gamma=120.00
Fractional coordinates of all 16 atoms:
Si 0.000 0.000 0.000
Si 0.000 0.000 0.500
Si 0.333 0.667 0.125
Si 0.333 0.667 0.375
Si 0.333 0.667 0.750
Si 0.667 0.333 0.250
Si 0.667 0.333 0.625
Si 0.667 0.333 0.875
C 0.000 0.000 0.406
C 0.000 0.000 0.906
C 0.333 0.667 0.031
C 0.333 0.667 0.281
C 0.333 0.667 0.656
C 0.667 0.333 0.156
C 0.667 0.333 0.531
C 0.667 0.333 0.781

Formation energy (no corrections)   -0.263 eV/atom
Density   3.216 g/cm3
Total magnetic moment   0.000 μB/cell
SG   No. 186

---

Entry 6:
First-principles (PBEsol) data for crystalline Si3C4 at its relaxed geometry, as listed in Alexandria via LeMat-Bulk.

Unit cell a=3.949 b=3.949 c=3.949 alpha=90.00 beta=90.00 gamma=90.00
Fractional coordinates of all 7 atoms:
Si 0.000 0.000 0.500
Si 0.000 0.500 0.000
Si 0.500 0.000 0.000
C 0.000 0.000 0.000
C 0.000 0.500 0.500
C 0.500 0.000 0.500
C 0.500 0.500 0.000

Formation energy (no corrections)   0.915 eV/atom
Density   3.567 g/cm3
Total magnetic moment   0.000 μB/cell
SG   No. 221

---

Entry 7:
First-principles (PBEsol) data for crystalline SiC2 at its relaxed geometry, as listed in Alexandria via LeMat-Bulk.

Unit cell a=2.849 b=2.849 c=7.603 alpha=90.00 beta=90.00 gamma=120.00
Fractional coordinates of all 6 atoms:
Si 0.333 0.667 0.250
Si 0.667 0.333 0.750
C 0.000 0.000 0.088
C 0.000 0.000 0.412
C 0.000 0.000 0.588
C 0.000 0.000 0.912

Formation energy (no corrections)   0.780 eV/atom
Density   3.238 g/cm3
Total magnetic moment   0.000 μB/cell
SG   No. 194

---

Entry 8:
First-principles (PBEsol) data for crystalline SiC2 at its relaxed geometry, as listed in Alexandria via LeMat-Bulk.

Unit cell a=4.518 b=4.518 c=2.922 alpha=90.00 beta=90.00 gamma=90.00
Fractional coordinates of all 6 atoms:
Si 0.000 0.000 0.000
Si 0.500 0.500 0.500
C 0.207 0.207 0.500
C 0.293 0.707 0.000
C 0.707 0.293 0.000
C 0.793 0.793 0.500

Formation energy (no corrections)   1.811 eV/atom
Density   2.901 g/cm3
Total magnetic moment   0.001 μB/cell
SG   No. 136

---

Entry 9:
First-principles (PBEsol) data for crystalline SiC2 at its relaxed geometry, as listed in Alexandria via LeMat-Bulk.

Unit cell a=4.368 b=4.368 c=4.872 alpha=91.05 beta=91.05 gamma=36.81
Fractional coordinates of all 6 atoms:
Si 0.000 0.000 0.000
Si 0.696 0.696 0.501
C 0.187 0.187 0.218
C 0.325 0.325 0.046
C 0.334 0.334 0.728
C 0.513 0.513 0.713

Formation energy (no corrections)   0.576 eV/atom
Density   3.109 g/cm3
Total magnetic moment   0.000 μB/cell
SG   No. 8

---

Entry 10:
First-principles (PBEsol) data for crystalline Si2C3 at its relaxed geometry, as listed in Alexandria via LeMat-Bulk.

Unit cell a=5.808 b=5.203 c=6.755 alpha=56.33 beta=48.21 gamma=75.45
Fractional coordinates of all 10 atoms:
Si 0.299 0.701 0.348
Si 0.598 0.902 0.549
Si 0.701 0.299 0.652
Si 0.902 0.598 0.951
C 0.322 0.720 0.595
C 0.374 0.374 0.626
C 0.624 0.624 0.876
C 0.655 0.887 0.928
C 0.720 0.322 0.363
C 0.887 0.655 0.530

Formation energy (no corrections)   0.811 eV/atom
Density   2.462 g/cm3
Total magnetic moment   0.000 μB/cell
SG   No. 43

---

Entry 11:
First-principles (PBEsol) data for crystalline SiC at its relaxed geometry, as listed in Alexandria via LeMat-Bulk.

Unit cell a=3.080 b=3.080 c=12.601 alpha=90.00 beta=90.00 gamma=120.00
Fractional coordinates of all 10 atoms:
Si 0.000 0.000 0.000
Si 0.000 0.000 0.400
Si 0.333 0.667 0.200
Si 0.333 0.667 0.601
Si 0.667 0.333 0.800
C 0.000 0.000 0.250
C 0.000 0.000 0.850
C 0.333 0.667 0.050
C 0.333 0.667 0.451
C 0.667 0.333 0.650

Formation energy (no corrections)   -0.263 eV/atom
Density   3.215 g/cm3
Total magnetic moment   0.000 μB/cell
SG   No. 156

---

Entry 12:
First-principles (PBEsol) data for crystalline SiC at its relaxed geometry, as listed in Alexandria via LeMat-Bulk.

Unit cell a=2.866 b=2.866 c=5.020 alpha=90.00 beta=90.00 gamma=120.00
Fractional coordinates of all 4 atoms:
Si 0.333 0.667 0.250
Si 0.667 0.333 0.750
C 0.000 0.000 0.000
C 0.000 0.000 0.500

Formation energy (no corrections)   0.932 eV/atom
Density   3.728 g/cm3
Total magnetic moment   0.000 μB/cell
SG   No. 194

---

Entry 13:
First-principles (PBEsol) data for crystalline SiC5 at its relaxed geometry, as listed in Alexandria via LeMat-Bulk.

Unit cell a=2.539 b=5.977 c=5.977 alpha=37.71 beta=90.00 gamma=90.00
Fractional coordinates of all 6 atoms:
Si 0.000 0.000 0.000
C 0.000 0.574 0.574
C 0.000 0.835 0.835
C 0.500 0.123 0.123
C 0.500 0.646 0.646
C 0.500 0.777 0.777

Formation energy (no corrections)   1.072 eV/atom
Density   2.638 g/cm3
Total magnetic moment   0.000 μB/cell
SG   No. 38

---

Entry 14:
First-principles (PBEsol) data for crystalline Si2C at its relaxed geometry, as listed in Alexandria via LeMat-Bulk.

Unit cell a=6.797 b=6.797 c=2.880 alpha=90.00 beta=90.00 gamma=144.55
Fractional coordinates of all 6 atoms:
Si 0.000 0.000 0.000
Si 0.204 0.796 0.000
Si 0.500 0.500 0.500
Si 0.796 0.204 0.000
C 0.108 0.892 0.500
C 0.892 0.108 0.500

Formation energy (no corrections)   0.668 eV/atom
Density   2.934 g/cm3
Total magnetic moment   0.000 μB/cell
SG   No. 65

---

Entry 15:
First-principles (PBEsol) data for crystalline Si2C at its relaxed geometry, as listed in Alexandria via LeMat-Bulk.

Unit cell a=4.733 b=4.733 c=4.733 alpha=147.05 beta=147.05 gamma=47.28
Fractional coordinates of all 3 atoms:
Si 0.135 0.135 0.000
Si 0.865 0.865 0.000
C 0.500 0.500 0.000

Formation energy (no corrections)   1.089 eV/atom
Density   3.624 g/cm3
Total magnetic moment   0.000 μB/cell
SG   No. 139

---

Entry 16:
First-principles (PBEsol) data for crystalline Si2C at its relaxed geometry, as listed in Alexandria via LeMat-Bulk.

Unit cell a=2.955 b=2.955 c=14.820 alpha=90.00 beta=90.00 gamma=120.00
Fractional coordinates of all 9 atoms:
Si 0.000 0.000 0.081
Si 0.000 0.000 0.919
Si 0.333 0.667 0.579
Si 0.333 0.667 0.745
Si 0.667 0.333 0.255
Si 0.667 0.333 0.421
C 0.000 0.000 0.500
C 0.333 0.667 0.874
C 0.667 0.333 0.126

Formation energy (no corrections)   0.337 eV/atom
Density   3.030 g/cm3
Total magnetic moment   0.000 μB/cell
SG   No. 164

---

Entry 17:
First-principles (PBEsol) data for crystalline Si2C at its relaxed geometry, as listed in Alexandria via LeMat-Bulk.

Unit cell a=4.690 b=4.690 c=4.690 alpha=36.03 beta=36.03 gamma=36.03
Fractional coordinates of all 3 atoms:
Si 0.244 0.244 0.244
Si 0.756 0.756 0.756
C 0.000 0.000 0.000

Formation energy (no corrections)   0.503 eV/atom
Density   3.547 g/cm3
Total magnetic moment   0.000 μB/cell
SG   No. 166

---

Entry 18:
First-principles (PBEsol) data for crystalline Si2C at its relaxed geometry, as listed in Alexandria via LeMat-Bulk.

Unit cell a=4.181 b=4.181 c=4.363 alpha=90.00 beta=90.00 gamma=120.00
Fractional coordinates of all 6 atoms:
Si 0.000 0.000 0.000
Si 0.000 0.000 0.500
Si 0.333 0.667 0.250
Si 0.667 0.333 0.750
C 0.333 0.667 0.750
C 0.667 0.333 0.250

Formation energy (no corrections)   1.400 eV/atom
Density   3.429 g/cm3
Total magnetic moment   0.000 μB/cell
SG   No. 194

---

Entry 19:
First-principles (PBEsol) data for crystalline SiC at its relaxed geometry, as listed in Alexandria via LeMat-Bulk.

Unit cell a=73.084 b=73.084 c=73.084 alpha=2.42 beta=2.42 gamma=2.42
Fractional coordinates of all 58 atoms:
Si 0.000 0.000 0.000
Si 0.023 0.023 0.023
Si 0.046 0.046 0.046
Si 0.092 0.092 0.092
Si 0.115 0.115 0.115
Si 0.161 0.161 0.161
Si 0.184 0.184 0.184
Si 0.230 0.230 0.230
Si 0.253 0.253 0.253
Si 0.299 0.299 0.299
Si 0.322 0.322 0.322
Si 0.368 0.368 0.368
Si 0.402 0.402 0.402
Si 0.437 0.437 0.437
Si 0.471 0.471 0.471
Si 0.506 0.506 0.506
Si 0.540 0.540 0.540
Si 0.575 0.575 0.575
Si 0.609 0.609 0.609
Si 0.644 0.644 0.644
Si 0.678 0.678 0.678
Si 0.724 0.724 0.724
Si 0.747 0.747 0.747
Si 0.793 0.793 0.793
Si 0.816 0.816 0.816
Si 0.862 0.862 0.862
Si 0.885 0.885 0.885
Si 0.931 0.931 0.931
Si 0.954 0.954 0.954
C 0.014 0.014 0.014
C 0.037 0.037 0.037
C 0.083 0.083 0.083
C 0.106 0.106 0.106
C 0.152 0.152 0.152
C 0.175 0.175 0.175
C 0.221 0.221 0.221
C 0.244 0.244 0.244
C 0.290 0.290 0.290
C 0.313 0.313 0.313
C 0.359 0.359 0.359
C 0.394 0.394 0.394
C 0.428 0.428 0.428
C 0.463 0.463 0.463
C 0.497 0.497 0.497
C 0.532 0.532 0.532
C 0.566 0.566 0.566
C 0.601 0.601 0.601
C 0.635 0.635 0.635
C 0.670 0.670 0.670
C 0.716 0.716 0.716
C 0.739 0.739 0.739
C 0.784 0.784 0.784
C 0.807 0.807 0.807
C 0.853 0.853 0.853
C 0.876 0.876 0.876
C 0.922 0.922 0.922
C 0.945 0.945 0.945
C 0.991 0.991 0.991

Formation energy (no corrections)   -0.264 eV/atom
Density   3.216 g/cm3
Total magnetic moment   0.000 μB/cell
SG   No. 160

---

Entry 20:
First-principles (PBEsol) data for crystalline SiC2 at its relaxed geometry, as listed in Alexandria via LeMat-Bulk.

Unit cell a=3.158 b=3.158 c=6.877 alpha=90.00 beta=90.00 gamma=90.00
Fractional coordinates of all 6 atoms:
Si 0.000 0.000 0.250
Si 0.000 0.000 0.750
C 0.000 0.500 0.099
C 0.000 0.500 0.901
C 0.500 0.000 0.401
C 0.500 0.000 0.599

Formation energy (no corrections)   0.431 eV/atom
Density   2.524 g/cm3
Total magnetic moment   0.000 μB/cell
SG   No. 131

---

Entry 21:
First-principles (PBEsol) data for crystalline SiC2 at its relaxed geometry, as listed in Alexandria via LeMat-Bulk.

Unit cell a=4.014 b=4.014 c=3.678 alpha=90.00 beta=90.00 gamma=120.00
Fractional coordinates of all 6 atoms:
Si 0.333 0.667 0.250
Si 0.667 0.333 0.750
C 0.000 0.000 0.000
C 0.000 0.000 0.500
C 0.333 0.667 0.750
C 0.667 0.333 0.250

Formation energy (no corrections)   2.285 eV/atom
Density   3.372 g/cm3
Total magnetic moment   0.000 μB/cell
SG   No. 194

---

Entry 22:
First-principles (PBEsol) data for crystalline SiC at its relaxed geometry, as listed in Alexandria via LeMat-Bulk.

Unit cell a=3.082 b=3.082 c=3.082 alpha=60.00 beta=60.00 gamma=60.00
Fractional coordinates of all 2 atoms:
Si 0.000 0.000 0.000
C 0.750 0.750 0.750

Formation energy (no corrections)   -0.262 eV/atom
Density   3.215 g/cm3
Total magnetic moment   0.000 μB/cell
SG   No. 216

---

Entry 23:
First-principles (PBEsol) data for crystalline Si2C at its relaxed geometry, as listed in Alexandria via LeMat-Bulk.

Unit cell a=4.678 b=4.678 c=4.678 alpha=36.06 beta=36.06 gamma=36.06
Fractional coordinates of all 3 atoms:
Si 0.000 0.000 0.000
Si 0.184 0.184 0.184
C 0.751 0.751 0.751

Formation energy (no corrections)   0.524 eV/atom
Density   3.569 g/cm3
Total magnetic moment   0.000 μB/cell
SG   No. 160

---

Entry 24:
First-principles (PBEsol) data for crystalline SiC8 at its relaxed geometry, as listed in Alexandria via LeMat-Bulk.

Unit cell a=4.775 b=4.775 c=4.775 alpha=111.19 beta=111.19 gamma=106.09
Fractional coordinates of all 9 atoms:
Si 0.000 0.000 0.000
C 0.000 0.364 0.364
C 0.000 0.636 0.636
C 0.245 0.245 0.489
C 0.245 0.755 0.000
C 0.364 0.000 0.364
C 0.636 0.000 0.636
C 0.755 0.245 0.000
C 0.755 0.755 0.511

Formation energy (no corrections)   1.739 eV/atom
Density   2.467 g/cm3
Total magnetic moment   0.000 μB/cell
SG   No. 139